[1]
Li2ZnS2 | PBEsol | optimized geometry

a = 3.571 Å, b = 6.616 Å, c = 6.616 Å
α = 90.00°, β = 90.00°, γ = 90.00°
Fractional positions:
1 Li 0.500 0.864 0.364
2 Li 0.500 0.636 0.864
3 Li 0.500 0.364 0.136
4 Li 0.500 0.136 0.636
5 S 0.000 0.680 0.180
6 S 0.000 0.180 0.320
7 S 0.000 0.820 0.680
8 S 0.000 0.320 0.820
9 Zn 0.000 0.000 0.000
10 Zn 0.000 0.500 0.500

Results
The formation energy (no corrections) comes out at -809 meV/atom. As for the symmetry: P4/mbm. Its density is 3.05 g/cm3.


[2]
LiNi5 | PBEsol | optimized geometry

a = 3.442 Å, b = 3.468 Å, c = 5.479 Å
α = 71.55°, β = 90.00°, γ = 90.00°
Each line ends with the local moment (μB).
Fractional positions:
1 Ni 0.500 0.332 0.335  0.56
2 Ni 0.000 0.168 0.663  0.57
3 Ni 0.500 0.668 0.665  0.56
4 Ni 0.500 0.000 0.000  0.55
5 Ni 0.000 0.832 0.337  0.57
6 Li 0.000 0.500 0.000  -0.01

Results
For the offset from the most stable computed form, the calculation gives 0.013 eV/atom. As for the formation energy: 0.038 eV/atom. As for the symmetry: Cmmm. Its density is 8.04 g/cm3.


[3]
K2TlHg | PBEsol | optimized geometry

a = 5.611 Å, b = 5.611 Å, c = 5.611 Å
α = 60.00°, β = 60.00°, γ = 60.00°
Fractional positions:
1 K 0.750 0.750 0.750
2 K 0.000 0.000 0.000
3 Tl 0.250 0.250 0.250
4 Hg 0.500 0.500 0.500

Results
For the offset from the most stable computed form, the calculation gives 0.031 eV/atom. As for the formation energy: -0.088 eV/atom. As for the symmetry: F-43m. Its density is 6.42 g/cm3.


[4]
ThAlPd | PBEsol | optimized geometry

a = 4.208 Å, b = 7.158 Å, c = 7.158 Å
α = 120.00°, β = 90.00°, γ = 90.00°
Fractional positions:
1 Al 0.000 0.768 0.768
2 Al 0.000 0.232 0.000
3 Al 0.000 0.000 0.232
4 Th 0.500 0.422 0.422
5 Th 0.500 0.000 0.578
6 Th 0.500 0.578 0.000
7 Pd 0.000 0.333 0.667
8 Pd 0.000 0.667 0.333
9 Pd 0.500 0.000 0.000

Results
As for the formation energy: -0.801 eV/atom. As for the symmetry: P-62m. Its density is 9.75 g/cm3.


[5]
In2Sn2Hg | PBEsol | optimized geometry

a = 5.009 Å, b = 5.009 Å, c = 6.796 Å
α = 111.62°, β = 111.62°, γ = 90.00°
Fractional positions:
1 Hg 0.000 0.000 0.000
2 In 0.750 0.250 0.500
3 In 0.250 0.750 0.500
4 Sn 0.381 0.381 0.762
5 Sn 0.619 0.619 0.238

Results
For the offset from the most stable computed form, the calculation gives 0.048 eV/atom. As for the formation energy: 0.110 eV/atom. As for the symmetry: I4/mmm. Its density is 7.62 g/cm3.


[6]
YScMnIr2 | PBEsol | optimized geometry

a = 4.859 Å, b = 4.859 Å, c = 4.838 Å
α = 90.00°, β = 90.00°, γ = 90.00°
Each line ends with the local moment (μB).
Fractional positions:
1 Mn 0.500 0.500 0.500  4.32
2 Ir 0.000 0.500 0.000  -0.02
3 Ir 0.500 0.000 0.000  -0.02
4 Sc 0.000 0.000 0.500  -0.10
5 Y 0.000 0.000 0.000  -0.06

Results
As for the formation energy: 1.657 eV/atom. As for the symmetry: P4/mmm. Its density is 8.33 g/cm3.


[7]
TcIrRh2 | PBEsol | optimized geometry

a = 2.676 Å, b = 2.676 Å, c = 8.959 Å
α = 81.41°, β = 81.41°, γ = 60.00°
Fractional positions:
1 Rh 0.249 0.249 0.254
2 Rh 0.751 0.751 0.746
3 Ir 0.000 0.000 0.000
4 Tc 0.500 0.500 0.500

Results
For the offset from the most stable computed form, the calculation gives 0.056 eV/atom. As for the formation energy: -0.061 eV/atom. As for the symmetry: R-3m. Its density is 15.05 g/cm3.


[8]
Ni3RhC | PBEsol | optimized geometry

a = 3.729 Å, b = 3.729 Å, c = 3.729 Å
α = 90.00°, β = 90.00°, γ = 90.00°
Fractional positions:
1 Ni 0.000 0.000 0.500
2 Ni 0.500 0.000 0.000
3 Ni 0.000 0.500 0.000
4 C 0.000 0.000 0.000
5 Rh 0.500 0.500 0.500

Results
As for the formation energy: 0.240 eV/atom. As for the symmetry: Pm-3m. Its density is 9.32 g/cm3.


[9]
V9Cr3B8 | PBEsol | optimized geometry

a = 2.969 Å, b = 5.605 Å, c = 11.212 Å
α = 89.99°, β = 90.00°, γ = 90.00°
Fractional positions:
1 B 0.000 0.386 0.195
2 B 0.000 0.613 0.308
3 B 0.000 0.887 0.557
4 B 0.000 0.113 0.443
5 B 0.000 0.614 0.805
6 B 0.000 0.387 0.692
7 B 0.000 0.888 0.057
8 B 0.000 0.112 0.943
9 Cr 0.000 0.000 0.749
10 Cr 0.000 0.000 0.251
11 Cr 0.000 0.500 0.500
12 V 0.500 0.178 0.589
13 V 0.500 0.678 0.660
14 V 0.500 0.320 0.837
15 V 0.000 0.500 0.000
16 V 0.500 0.322 0.340
17 V 0.500 0.177 0.090
18 V 0.500 0.680 0.163
19 V 0.500 0.822 0.411
20 V 0.500 0.823 0.910

Results
As for the formation energy: -0.762 eV/atom. As for the symmetry: P2/m. Its density is 6.24 g/cm3.


[10]
Sc2NbGePt | PBEsol | optimized geometry

a = 4.770 Å, b = 4.975 Å, c = 4.975 Å
α = 90.00°, β = 90.00°, γ = 90.00°
Fractional positions:
1 Sc 0.000 0.000 0.500
2 Sc 0.000 0.500 0.000
3 Nb 0.000 0.000 0.000
4 Ge 0.500 0.500 0.500
5 Pt 0.500 0.000 0.000

Results
As for the formation energy: 0.654 eV/atom. As for the symmetry: P4/mmm. Its density is 6.34 g/cm3.


[11]
MgTlNi2 | PBEsol | optimized geometry

a = 3.188 Å, b = 3.188 Å, c = 5.787 Å
α = 90.00°, β = 90.00°, γ = 90.00°
Fractional positions:
1 Ni 0.000 0.000 0.744
2 Ni 0.000 0.000 0.256
3 Tl 0.500 0.500 0.000
4 Mg 0.500 0.500 0.500

Results
As for the formation energy: 0.056 eV/atom. As for the symmetry: P4/mmm. Its density is 9.77 g/cm3.


[12]
ZnMoPb | PBEsol | optimized geometry

a = 3.033 Å, b = 3.726 Å, c = 5.378 Å
α = 110.27°, β = 106.38°, γ = 90.00°
Fractional positions:
1 Pb 0.666 0.666 0.331
2 Zn 0.356 0.356 0.713
3 Mo 0.978 0.978 0.956

Results
For the offset from the most stable computed form, the calculation gives 0.000 eV/atom. As for the formation energy: 0.555 eV/atom. As for the symmetry: Imm2. Its density is 11.25 g/cm3.